Record 1
DFT (PBE) results for a relaxed structure of Ca5Pr3.

Cell lengths 3.7065, 3.7065, 25.3031 Å; angles 90.00, 90.00, 114.97 degrees
With the nearest neighbours (Å) after each atom.
Element x y z (fractional)
Ca 0.5000 0.5000 0.7564  8 Ca 3.71-3.98, 2 Pr 3.76
Ca 0.0000 0.0000 0.6282  10 Ca 3.71-3.98
Ca 0.5000 0.5000 0.5000  10 Ca 3.71-3.98
Ca 0.0000 0.0000 0.3718  10 Ca 3.71-3.98
Ca 0.5000 0.5000 0.2436  8 Ca 3.71-3.98, 2 Pr 3.76
Pr 0.0000 0.0000 0.1177  8 Pr 3.58-3.98, 2 Ca 3.76
Pr 0.5000 0.5000 0.0000  10 Pr 3.58-3.98
Pr 0.0000 0.0000 0.8823  8 Pr 3.58-3.98, 2 Ca 3.76

Summary:
Magnetic moment = 0.00 μB/cell
DFT formation energy = 0.0670 eV per atom
Density of states at the Fermi level = 1.6849 states/eV per atom
Calculated density = 3.28 g/cm3



Record 2
DFT (PBE) results for a relaxed structure of Ca3Pr.

Cell lengths 3.8095, 3.8095, 12.8769 Å; angles 81.49, 81.49, 60.00 degrees
With the nearest neighbours (Å) after each atom.
Element x y z (fractional)
Ca 0.7486 0.7486 0.7542  9 Ca 3.81-3.90, 3 Pr 3.82
Ca 0.5000 0.5000 0.5000  12 Ca 3.81-3.90
Ca 0.2514 0.2514 0.2458  9 Ca 3.81-3.90, 3 Pr 3.82
Pr 0.0000 0.0000 0.0000  6 Pr 3.81, 6 Ca 3.82

Summary:
Magnetic moment = 0.00 μB/cell
DFT formation energy = 0.0425 eV per atom
Density of states at the Fermi level = 1.6572 states/eV per atom
Calculated density = 2.72 g/cm3



Record 3
DFT (PBE) results for a relaxed structure of CaPr5.

Cell lengths 3.9588, 6.0545, 9.7358 Å; angles 108.12, 90.00, 90.00 degrees
With the nearest neighbours (Å) after each atom.
Element x y z (fractional)
Pr 0.0000 0.6758 0.3515  10 Pr 3.63-3.96
Pr 0.0000 0.3242 0.6485  10 Pr 3.63-3.96
Pr 0.5000 0.5000 0.0000  4 Ca 3.62, 6 Pr 3.81-3.96
Pr 0.5000 0.1574 0.3148  2 Ca 3.52, 6 Pr 3.63-3.67
Pr 0.5000 0.8426 0.6852  2 Ca 3.52, 6 Pr 3.63-3.67
Ca 0.0000 0.0000 0.0000  8 Pr 3.52-3.62

Summary:
Magnetic moment = 0.00 μB/cell
DFT formation energy = 0.1038 eV per atom
Density of states at the Fermi level = 1.6669 states/eV per atom
Calculated density = 5.57 g/cm3



Record 4
DFT (PBE) results for a relaxed structure of CaPr.

Cell lengths 4.2446, 4.2446, 4.2446 Å; angles 90.00, 90.00, 90.00 degrees
With the nearest neighbours (Å) after each atom.
Element x y z (fractional)
Pr 0.0000 0.0000 0.0000  8 Ca 3.68
Ca 0.5000 0.5000 0.5000  8 Pr 3.68

Summary:
Magnetic moment = 0.00 μB/cell
DFT formation energy = 0.1027 eV per atom
Density of states at the Fermi level = 1.4999 states/eV per atom
Calculated density = 3.93 g/cm3



Record 5
DFT (PBE) results for a relaxed structure of Ca2Pr7.

Cell lengths 6.4962, 6.4962, 9.1635 Å; angles 90.00, 90.00, 120.00 degrees
With the nearest neighbours (Å) after each atom.
Element x y z (fractional)
Ca 0.3333 0.6667 0.0000  9 Pr 3.75-3.81, 3 Ca 3.75
Ca 0.6667 0.3333 0.0000  9 Pr 3.75-3.81, 3 Ca 3.75
Pr 0.0000 0.0000 0.0000  6 Ca 3.75, 6 Pr 3.77
Pr 0.6734 0.0000 0.3402  10 Pr 3.62-3.79, 2 Ca 3.81
Pr 0.0000 0.6734 0.3402  10 Pr 3.62-3.79, 2 Ca 3.81
Pr 0.3266 0.3266 0.3402  10 Pr 3.62-3.79, 2 Ca 3.81
Pr 0.0000 0.3266 0.6598  10 Pr 3.62-3.79, 2 Ca 3.81
Pr 0.3266 0.0000 0.6598  10 Pr 3.62-3.79, 2 Ca 3.81
Pr 0.6734 0.6734 0.6598  10 Pr 3.62-3.79, 2 Ca 3.81

Summary:
Magnetic moment = 0.00 μB/cell
DFT formation energy = 0.0435 eV per atom
Density of states at the Fermi level = 1.5393 states/eV per atom
Calculated density = 5.29 g/cm3



Record 6
DFT (PBE) results for a relaxed structure of CaPr5.

Cell lengths 3.7320, 3.7320, 15.9821 Å; angles 90.00, 90.00, 90.00 degrees
With the nearest neighbours (Å) after each atom.
Element x y z (fractional)
Ca 0.5000 0.5000 0.0000  4 Ca 3.73, 8 Pr 3.86
Pr 0.0000 0.0000 0.8237  8 Pr 3.65-3.73, 4 Ca 3.86
Pr 0.0000 0.0000 0.1763  8 Pr 3.65-3.73, 4 Ca 3.86
Pr 0.5000 0.5000 0.6660  12 Pr 3.65-3.74
Pr 0.5000 0.5000 0.3340  12 Pr 3.65-3.74
Pr 0.0000 0.0000 0.5000  12 Pr 3.73-3.74

Summary:
Magnetic moment = 0.00 μB/cell
DFT formation energy = 0.0236 eV per atom
Density of states at the Fermi level = 1.4153 states/eV per atom
Calculated density = 5.55 g/cm3



Record 7
DFT (PBE) results for a relaxed structure of Ca4Pr.

Cell lengths 7.1007, 7.1007, 7.1089 Å; angles 129.13, 129.13, 50.87 degrees
With the nearest neighbours (Å) after each atom.
Element x y z (fractional)
Ca 0.7977 0.7977 0.2020  7 Ca 3.64-3.76, 1 Pr 3.74
Ca 0.2023 0.2023 0.7980  7 Ca 3.64-3.76, 1 Pr 3.74
Ca 0.6009 0.6009 0.3990  5 Ca 3.64-3.74, 3 Pr 3.73
Ca 0.3991 0.3991 0.6010  5 Ca 3.64-3.74, 3 Pr 3.73
Pr 0.0000 0.0000 0.0000  8 Ca 3.73-3.74

Summary:
Magnetic moment = 0.00 μB/cell
DFT formation energy = 0.0651 eV per atom
Density of states at the Fermi level = 1.3830 states/eV per atom
Calculated density = 2.52 g/cm3



Record 8
DFT (PBE) results for a relaxed structure of Ca3Pr13.

Cell lengths 7.4731, 7.4731, 10.5605 Å; angles 90.00, 90.00, 89.97 degrees
With the nearest neighbours (Å) after each atom.
Element x y z (fractional)
Ca 0.9987 0.0013 0.7494  1 Ca 3.71, 11 Pr 3.71-3.82
Ca 0.7529 0.2471 0.0000  10 Pr 3.68-3.80, 2 Ca 3.71
Ca 0.9987 0.0013 0.2506  1 Ca 3.71, 11 Pr 3.71-3.82
Pr 0.0035 0.5050 0.7486  9 Pr 3.70-3.77, 3 Ca 3.71-3.78
Pr 0.4985 0.5015 0.7464  11 Pr 3.63-3.77, 1 Ca 3.79
Pr 0.4950 0.9965 0.7486  9 Pr 3.70-3.77, 3 Ca 3.71-3.78
Pr 0.2609 0.2602 0.0000  8 Pr 3.63-3.85, 4 Ca 3.68-3.82
Pr 0.7398 0.7391 0.0000  8 Pr 3.63-3.85, 4 Ca 3.68-3.82
Pr 0.2545 0.7455 0.0000  10 Pr 3.63-3.85, 2 Ca 3.78
Pr 0.0035 0.5050 0.2514  9 Pr 3.70-3.77, 3 Ca 3.71-3.78
Pr 0.4985 0.5015 0.2536  11 Pr 3.63-3.77, 1 Ca 3.79
Pr 0.4950 0.9965 0.2514  9 Pr 3.70-3.77, 3 Ca 3.71-3.78
Pr 0.7409 0.2591 0.5000  10 Pr 3.64-3.83, 2 Ca 3.79
Pr 0.2540 0.2530 0.5000  10 Pr 3.64-3.83, 2 Ca 3.76
Pr 0.7470 0.7460 0.5000  10 Pr 3.64-3.83, 2 Ca 3.76
Pr 0.2586 0.7414 0.5000  10 Pr 3.63-3.82, 2 Ca 3.80

Summary:
Magnetic moment = 0.00 μB/cell
DFT formation energy = 0.0397 eV per atom
Density of states at the Fermi level = 1.5028 states/eV per atom
Calculated density = 5.50 g/cm3



Record 9
DFT (PBE) results for a relaxed structure of Ca3Pr.

Cell lengths 5.4421, 5.4421, 5.4421 Å; angles 90.00, 90.00, 90.00 degrees
With the nearest neighbours (Å) after each atom.
Element x y z (fractional)
Pr 0.0000 0.0000 0.0000  12 Ca 3.85
Ca 0.0000 0.5000 0.5000  8 Ca 3.85, 4 Pr 3.85
Ca 0.5000 0.0000 0.5000  8 Ca 3.85, 4 Pr 3.85
Ca 0.5000 0.5000 0.0000  8 Ca 3.85, 4 Pr 3.85

Summary:
Magnetic moment = 0.77 μB/cell
DFT formation energy = 0.1041 eV per atom
Density of states at the Fermi level = 1.8122 states/eV per atom
Calculated density = 2.69 g/cm3



Record 10
DFT (PBE) results for a relaxed structure of Ca3Pr.

Cell lengths 3.7731, 6.6918, 7.3870 Å; angles 116.93, 104.80, 90.00 degrees
With the nearest neighbours (Å) after each atom.
Element x y z (fractional)
Pr 0.0000 0.0041 0.0000  2 Pr 3.77, 10 Ca 3.83-3.86
Ca 0.2525 0.5821 0.5050  9 Ca 3.77-3.88, 3 Pr 3.83-3.86
Ca 0.5000 0.5034 0.0000  8 Ca 3.77-3.88, 4 Pr 3.84
Ca 0.7475 0.0771 0.4950  9 Ca 3.77-3.88, 3 Pr 3.83-3.86

Summary:
Magnetic moment = 0.70 μB/cell
DFT formation energy = 0.0728 eV per atom
Density of states at the Fermi level = 1.6685 states/eV per atom
Calculated density = 2.72 g/cm3



Record 11
DFT (PBE) results for a relaxed structure of CaPr.

Cell lengths 3.7951, 3.7951, 12.5429 Å; angles 90.00, 90.00, 120.00 degrees
With the nearest neighbours (Å) after each atom.
Element x y z (fractional)
Ca 0.3333 0.6667 0.3695  9 Ca 3.80-3.94, 3 Pr 3.88
Ca 0.6667 0.3333 0.6305  9 Ca 3.80-3.94, 3 Pr 3.88
Pr 0.3333 0.6667 0.8860  9 Pr 3.60-3.80, 3 Ca 3.88
Pr 0.6667 0.3333 0.1140  9 Pr 3.60-3.80, 3 Ca 3.88

Summary:
Magnetic moment = 0.00 μB/cell
DFT formation energy = 0.0340 eV per atom
Density of states at the Fermi level = 1.3570 states/eV per atom
Calculated density = 3.84 g/cm3



Record 12
DFT (PBE) results for a relaxed structure of Ca4Pr.

Cell lengths 3.8185, 3.8185, 16.1033 Å; angles 83.19, 83.19, 60.00 degrees
With the nearest neighbours (Å) after each atom.
Element x y z (fractional)
Ca 0.6014 0.6014 0.1959  9 Ca 3.82-3.92, 3 Pr 3.82
Ca 0.2003 0.2003 0.3990  12 Ca 3.82-3.92
Ca 0.7997 0.7997 0.6010  12 Ca 3.82-3.92
Ca 0.3986 0.3986 0.8041  9 Ca 3.82-3.92, 3 Pr 3.82
Pr 0.0000 0.0000 0.0000  6 Pr 3.82, 6 Ca 3.82

Summary:
Magnetic moment = 0.00 μB/cell
DFT formation energy = 0.0348 eV per atom
Density of states at the Fermi level = 1.6307 states/eV per atom
Calculated density = 2.48 g/cm3